Here is an optimized crystal structure of MnOF from the Alexandria database. Energies are from PBE with a Hubbard U.

Cell lengths 3.018, 4.871, 19.189 Å; angles 84.84, 90.00, 90.00 degrees
Last column: magnetic moment on the atom in μB.
Positions (direct):
Mn  0.000  0.000  0.000  4.00
Mn  0.000  0.924  0.251  2.01
Mn  0.000  0.000  0.500  3.96
Mn  0.000  0.076  0.749  2.01
Mn  0.500  0.384  0.128  4.04
Mn  0.500  0.465  0.376  3.96
Mn  0.500  0.535  0.624  3.96
Mn  0.500  0.616  0.872  4.04
O  0.500  0.850  0.951  -0.12
O  0.000  0.719  0.576  -0.08
O  0.000  0.632  0.323  -0.05
O  0.000  0.773  0.820  -0.15
O  0.000  0.227  0.180  -0.15
O  0.000  0.281  0.424  -0.08
O  0.000  0.368  0.677  -0.05
O  0.500  0.150  0.049  -0.12
F  0.500  0.752  0.204  -0.01
F  0.500  0.800  0.452  0.05
F  0.500  0.899  0.703  -0.01
F  0.000  0.621  0.083  0.01
F  0.000  0.379  0.917  0.01
F  0.500  0.101  0.297  -0.01
F  0.500  0.200  0.548  0.05
F  0.500  0.248  0.796  -0.01

Results
- spin magnetization (μB per formula unit) = 3.5
- calculated volume (Å³ per atom) = 11.71
- N(E_F) (states/eV per cell) = 4.8
- total energy (eV per cell) = -158.709
- space group = No. 10